Material: IrINO2
Method: DFT, GGA-PBEsol
State: relaxed

For the formation energy (no corrections), the calculation gives 401 meV per atom. As for the mass density: 9.8 g cm⁻³. The density of states at the Fermi level is 0.466 states/eV/atom. For the magnetization, the calculation gives 0.0 μB per formula unit.

The structure belongs to space group P4/mmm (No. 123); the cell edges are 3.980, 3.980 and 3.898 Å and the angles 90.00°, 90.00° and 90.00°. The distinct sites, in fractional coordinates, are Ir at (0.000, 0.000, 0.000), I at (0.500, 0.500, 0.500), N at (0.000, 0.000, 0.500) and O at (0.000, 0.500, 0.000).

---

Material: IrOsIN2
Method: DFT, GGA-PBEsol
State: relaxed

For the formation energy (no corrections), the calculation gives 1658 meV per atom. As for the mass density: 9.3 g cm⁻³. The density of states at the Fermi level is 0.825 states/eV/atom. For the magnetization, the calculation gives 1.5 μB per formula unit.

The structure belongs to space group P4/mmm (No. 123); the cell edges are 3.722, 3.722 and 6.928 Å and the angles 90.00°, 90.00° and 90.00°. The distinct sites, in fractional coordinates, are Ir at (0.000, 0.000, 0.000), Os at (0.500, 0.500, 0.500), I at (0.000, 0.000, 0.500) and N at (0.000, 0.500, 0.000).

---

Material: IrOsI2N
Method: DFT, GGA-PBEsol
State: relaxed

For the formation energy (no corrections), the calculation gives 1392 meV per atom. As for the mass density: 10.5 g cm⁻³. The density of states at the Fermi level is 0.868 states/eV/atom. For the magnetization, the calculation gives 0.0 μB per formula unit.

The structure belongs to space group P4/mmm (No. 123); the cell edges are 5.339, 5.339 and 3.591 Å and the angles 90.00°, 90.00° and 90.00°. The distinct sites, in fractional coordinates, are Ir at (0.000, 0.000, 0.000), Os at (0.500, 0.500, 0.500), I at (0.000, 0.500, 0.000) and N at (0.000, 0.000, 0.500).

---

Material: IrPbIN2
Method: DFT, GGA-PBEsol
State: relaxed

For the formation energy (no corrections), the calculation gives 1150 meV per atom. As for the mass density: 8.5 g cm⁻³. The density of states at the Fermi level is 0.635 states/eV/atom. For the magnetization, the calculation gives 0.0 μB per formula unit.

The structure belongs to space group P4/mmm (No. 123); the cell edges are 3.966, 3.966 and 6.858 Å and the angles 90.00°, 90.00° and 90.00°. The distinct sites, in fractional coordinates, are Ir at (0.000, 0.000, 0.000), Pb at (0.500, 0.500, 0.500), I at (0.000, 0.000, 0.500) and N at (0.000, 0.500, 0.000).

---

Material: IrPtI2N
Method: DFT, GGA-PBEsol
State: relaxed

For the formation energy (no corrections), the calculation gives 1217 meV per atom. As for the mass density: 10.2 g cm⁻³. The density of states at the Fermi level is 0.957 states/eV/atom. For the magnetization, the calculation gives 0.0 μB per formula unit.

The structure belongs to space group P4/mmm (No. 123); the cell edges are 5.433, 5.433 and 3.599 Å and the angles 90.00°, 90.00° and 90.00°. The distinct sites, in fractional coordinates, are Ir at (0.000, 0.000, 0.000), Pt at (0.500, 0.500, 0.500), I at (0.000, 0.500, 0.500) and N at (0.500, 0.500, 0.000).

---

Material: Sb2IrIN
Method: DFT, GGA-PBEsol
State: relaxed

For the formation energy (no corrections), the calculation gives 2539 meV per atom. As for the mass density: 6.0 g cm⁻³. The density of states at the Fermi level is 1.031 states/eV/atom. For the magnetization, the calculation gives 1.8 μB per formula unit.

The structure belongs to space group P4/mmm (No. 123); the cell edges are 5.777, 5.777 and 4.786 Å and the angles 90.00°, 90.00° and 90.00°. The distinct sites, in fractional coordinates, are Sb at (0.000, 0.500, 0.000), Ir at (0.000, 0.000, 0.500), I at (0.000, 0.000, 0.000) and N at (0.500, 0.500, 0.500).